DFT (PBE with a Hubbard U) results for a relaxed structure of Na3Mn3SbO8.

Its symmetry is No. 12. For the final energy, the calculation gives -6.319 eV/atom.

abc: 6.2692 6.2692 6.6690
angles: 118.60 118.60 61.19
Positions (direct):
Na  0.0000  0.0000  0.0000
Na  0.0000  0.5000  0.0000
Na  0.5000  0.0000  0.0000
Mn  0.0000  0.5000  0.5000
Mn  0.5000  0.0000  0.5000
Mn  0.5000  0.5000  0.5000
Sb  0.0000  0.0000  0.5000
O  0.2042  0.7451  0.6880
O  0.2209  0.2209  0.7245
O  0.2549  0.7958  0.3120
O  0.2603  0.2603  0.3265
O  0.7397  0.7397  0.6735
O  0.7451  0.2042  0.6880
O  0.7791  0.7791  0.2755
O  0.7958  0.2549  0.3120